## ScCd2Au8 (PBE)

Data for crystalline ScCd2Au8 at its relaxed geometry.

**Space-group type**: C2/m, No. 12
**Energy above the most stable polymorph in this dataset**: 0 meV per atom
**Energy of formation**: -0.31 eV per atom

a = 4.2169 Å, b = 6.7024 Å, c = 7.8294 Å
α = 105.46°, β = 105.62°, γ = 90.00°
Positions (direct):
Au (0.0419, 0.7304, 0.0838)
Au (0.8646, 0.8181, 0.7291)
Au (0.4070, 0.5517, 0.8141)
Au (0.6777, 0.9112, 0.3555)
Au (0.5930, 0.4483, 0.1859)
Au (0.3223, 0.0888, 0.6445)
Au (0.9581, 0.2696, 0.9162)
Au (0.1354, 0.1819, 0.2709)
Sc (0.5000, 0.0000, 0.0000)
Cd (0.2235, 0.6466, 0.4470)
Cd (0.7765, 0.3534, 0.5530)

***

## ScCd2Au (PBE)

Data for crystalline ScCd2Au at its relaxed geometry.

**Space-group type**: P4mm, No. 99
**Energy of formation**: -0.38 eV per atom

a = 3.3519 Å, b = 3.3526 Å, c = 7.4446 Å
α = 90.00°, β = 90.00°, γ = 90.00°
Positions (direct):
Cd (0.5000, 0.5000, 0.2521)
Cd (0.0000, 0.0000, 0.9848)
Au (0.5000, 0.5000, 0.7363)
Sc (0.0000, 0.0000, 0.5268)

***

## ScCdAu (PBE)

Data for crystalline ScCdAu at its relaxed geometry.

**Space-group type**: F-43m, No. 216
**Energy of formation**: -0.14 eV per atom

a = 4.6608 Å, b = 4.6608 Å, c = 4.6608 Å
α = 60.00°, β = 60.00°, γ = 60.00°
Positions (direct):
Au (0.0000, 0.0000, 0.0000)
Sc (0.2500, 0.2500, 0.2500)
Cd (0.5000, 0.5000, 0.5000)

***

| no. | V (Å³/atom) | Fermi-level density of states (states/eV per atom) |
| --- | --- | --- |
| 1 | 18.6 | 0.314 |
| 2 | 20.9 | 0.341 |
| 3 | 23.9 | 0.619 |